The following is a PBE-GGA calculation of a geometry-optimized Sm4Te5Se2 structure, from the Alexandria database.

Unit cell a=21.640 b=4.316 c=8.392 alpha=90.00 beta=112.09 gamma=90.00
Space group C2/m (No. 12)
Asymmetric unit:
Sm 0.006 0.000 0.242 x4
Sm 0.217 0.500 0.224 x4
Te 0.000 0.500 0.500 x2
Te 0.163 0.000 0.415 x4
Te 0.165 0.000 0.918 x4
Se 0.059 0.500 0.999 x4

The following is a PBE-GGA calculation of a geometry-optimized TiS3F structure, from the Alexandria database.

Calculated values
The value obtained for the energy above the most stable polymorph in this dataset is 0 meV/atom.

Unit cell a=4.601 b=4.601 c=4.601 alpha=90.00 beta=90.00 gamma=90.00
Space group Pm-3m (No. 221)
Asymmetric unit:
Ti 0.000 0.000 0.000 x1
S 0.000 0.000 0.500 x3
F 0.500 0.500 0.500 x1

The following is a PBE-GGA calculation of a geometry-optimized BaP2Cl structure, from the Alexandria database.

Calculated values
The value obtained for the energy above the most stable polymorph in this dataset is 525 meV/atom.

Unit cell a=5.678 b=5.855 c=12.976 alpha=90.00 beta=90.00 gamma=90.00
Space group Fmmm (No. 69)
Asymmetric unit:
Ba 0.000 0.000 0.000 x4
P 0.000 0.250 0.250 x8
Cl 0.000 0.000 0.500 x4

The following is a PBE-GGA calculation of a geometry-optimized CuHgOs2 structure, from the Alexandria database.

Calculated values
For the formation energy, the calculation gives 366 kJ/mol of formula units.

Unit cell a=3.851 b=3.851 c=18.997 alpha=90.00 beta=90.00 gamma=90.00
Space group I-42d (No. 122)
Asymmetric unit:
Cu 0.000 0.000 0.000 x4
Hg 0.000 0.000 0.500 x4
Os 0.178 0.250 0.125 x8

Number 1: DFT total energy -5.0497 eV per atom. Number 2: DFT total energy -4.7351 eV per atom. Number 3: DFT total energy -4.1070 eV per atom. Number 4: DFT total energy -5.7659 eV per atom.